Here is crystalline NbV2Fe3P6O24 at its relaxed geometry from the Alexandria database. Energies are from PBE+U.

Cell and atoms, written as POSCAR:
```
NbV2Fe3P6O24
1.0
-8.309 0.949 -2.227
-5.873 -5.719 2.773
-5.807 2.354 5.969
P O Fe Nb V
6 24 3 1 2
direct
0.042 0.744 0.461
0.551 0.955 0.252
0.744 0.461 0.042
0.461 0.042 0.744
0.955 0.252 0.551
0.252 0.551 0.955
0.112 0.314 0.505
0.183 0.386 0.007
0.505 0.112 0.314
0.065 0.909 0.260
0.386 0.007 0.183
0.260 0.065 0.909
0.444 0.237 0.586
0.000 0.818 0.610
0.762 0.411 0.554
0.314 0.505 0.112
0.741 0.939 0.089
0.939 0.089 0.741
0.586 0.444 0.237
0.554 0.762 0.411
0.690 0.492 0.885
0.818 0.610 0.000
0.237 0.586 0.444
0.885 0.690 0.492
0.909 0.260 0.065
0.007 0.183 0.386
0.610 0.000 0.818
0.089 0.741 0.939
0.492 0.885 0.690
0.411 0.554 0.762
0.356 0.356 0.356
0.854 0.854 0.854
0.644 0.644 0.644
0.144 0.144 0.144
0.998 0.998 0.998
0.499 0.499 0.499
```

Summary:
Magnetic moment   21.00 μB/f.u.
Total energy   -7.470 eV/atom